# 1
The following is a PBE-GGA calculation of a geometry-optimized Ac2GaAu3 structure, from Alexandria.

relative energy among the computed polymorphs	42.0	meV/atom
DFT formation energy	-0.7683	eV per atom
calculated volume	27.10	Å³ per atom

a = 4.3463 Å, b = 4.4101 Å, c = 9.0315 Å
α = 104.13°, β = 103.92°, γ = 90.00°
Closest atoms and distances in Å follow each position.
Positions (direct):
Ga1 0.4611 0.9611 0.9222  3 Au 2.54-2.65
Ac1 0.8716 0.3716 0.7431  8 Au 3.30-3.63, 4 Ga 3.45
Ac2 0.1251 0.1251 0.2503  8 Au 3.36-3.45, 2 Ga 3.53
Au1 0.7016 0.7016 0.4031  3 Au 2.79-2.82
Au2 0.5356 0.5356 0.0713  2 Ga 2.54, 1 Au 2.82
Au3 0.3050 0.8050 0.6101  1 Ga 2.65, 2 Au 2.79

***

# 2
The following is a PBE-GGA calculation of a geometry-optimized GaHgMo structure, from Alexandria.

relative energy among the computed polymorphs	187.6	meV/atom
DFT formation energy	0.2174	eV per atom
calculated volume	18.42	Å³ per atom

a = 2.8689 Å, b = 4.3335 Å, c = 8.8937 Å
α = 90.00°, β = 91.61°, γ = 90.00°
Closest atoms and distances in Å follow each position.
Positions (direct):
Hg1 0.9343 0.5000 0.6046  1 Ga 2.71, 2 Hg 2.87
Hg2 0.4559 0.0000 0.7952  6 Hg 2.87-3.11, 2 Ga 2.93, 1 Mo 3.13
Mo1 0.3762 0.0000 0.3872  3 Mo 2.58-2.87, 4 Ga 2.68-2.75
Mo2 0.0327 0.0000 0.1164  3 Mo 2.58-2.87, 6 Ga 2.74-2.75
Ga1 0.5183 0.5000 0.0170  3 Ga 2.70-2.87, 4 Mo 2.74-2.75, 2 Hg 2.93
Ga2 0.8899 0.5000 0.2995  6 Mo 2.68-2.75, 3 Ga 2.70-2.87, 1 Hg 2.71

***

# 3
The following is a PBE-GGA calculation of a geometry-optimized Rb2SbPdS4 structure, from Alexandria.

formation energy without anion corrections	-0.502	eV/atom
calculated volume	32.90	Å³ per atom

a = 6.7632 Å, b = 7.9697 Å, c = 11.3031 Å
α = 82.71°, β = 72.59°, γ = 64.89°
Closest atoms and distances in Å follow each position.
Positions (direct):
S1 0.3139 0.7988 0.0908  1 Sb 2.39, 1 Pd 2.48
S2 0.2035 0.2012 0.9092  1 Sb 2.39, 1 Pd 2.48
S3 0.5465 0.2988 0.5908  1 Sb 2.39, 1 Pd 2.48
S4 0.5953 0.2012 0.0908  1 Sb 2.39, 1 Pd 2.48
S5 0.4361 0.7012 0.4092  1 Sb 2.39, 1 Pd 2.48
S6 0.8873 0.7988 0.9092  1 Sb 2.39, 1 Pd 2.48
S7 0.8627 0.7012 0.5908  1 Sb 2.39, 1 Pd 2.48
S8 0.1547 0.2988 0.4092  1 Sb 2.39, 1 Pd 2.48
Pd1 0.0000 0.0000 0.0000  4 S 2.48
Pd2 0.7500 0.5000 0.5000  4 S 2.48
Rb1 0.5774 0.5000 0.8453  4 S 3.42-3.56, 1 Pd 3.72
Rb2 0.1726 0.0000 0.6547  4 S 3.42-3.56, 1 Pd 3.72
Rb3 0.8274 0.0000 0.3453  4 S 3.42-3.56, 1 Pd 3.72
Rb4 0.9226 0.5000 0.1547  4 S 3.42-3.56, 1 Pd 3.72
Sb1 0.5000 0.0000 0.0000  4 S 2.39
Sb2 0.2500 0.5000 0.5000  4 S 2.39

***

# 4
The following is a PBE-GGA calculation of a geometry-optimized K2Hg17 structure, from Alexandria.

DFT formation energy	-0.1085	eV per atom
calculated volume	30.05	Å³ per atom

a = 8.6141 Å, b = 8.6141 Å, c = 8.6141 Å
α = 73.21°, β = 73.21°, γ = 73.21°
Closest atoms and distances in Å follow each position.
Positions (direct):
Hg1 0.5000 0.0000 0.0000  10 Hg 3.23-3.49
Hg2 0.8379 0.3928 0.3928  6 Hg 3.06-3.23
Hg3 0.1621 0.6072 0.6072  6 Hg 3.06-3.23
Hg4 0.2976 0.0000 0.7024  4 Hg 3.06-3.16
Hg5 0.7024 0.2976 0.0000  4 Hg 3.06-3.16
Hg6 0.0928 0.0928 0.0928  10 Hg 3.27-3.52
Hg7 0.3928 0.3928 0.8379  6 Hg 3.06-3.23
Hg8 0.0000 0.5000 0.0000  10 Hg 3.23-3.49
Hg9 0.3928 0.8379 0.3928  6 Hg 3.06-3.23
Hg10 0.6072 0.6072 0.1621  6 Hg 3.06-3.23
Hg11 0.0000 0.7024 0.2976  4 Hg 3.06-3.16
Hg12 0.9072 0.9072 0.9072  10 Hg 3.27-3.52
Hg13 0.7024 0.0000 0.2976  4 Hg 3.06-3.16
Hg14 0.2976 0.7024 0.0000  4 Hg 3.06-3.16
Hg15 0.6072 0.1621 0.6072  6 Hg 3.06-3.23
Hg16 0.0000 0.0000 0.5000  10 Hg 3.23-3.49
Hg17 0.0000 0.2976 0.7024  4 Hg 3.06-3.16
K1 0.3052 0.3052 0.3052  16 Hg 3.66-3.98
K2 0.6948 0.6948 0.6948  16 Hg 3.66-3.98

***

Repeat the third record exactly.
The following is a PBE-GGA calculation of a geometry-optimized Rb2SbPdS4 structure, from Alexandria.

formation energy without anion corrections	-0.502	eV/atom
calculated volume	32.90	Å³ per atom

a = 6.7632 Å, b = 7.9697 Å, c = 11.3031 Å
α = 82.71°, β = 72.59°, γ = 64.89°
Closest atoms and distances in Å follow each position.
Positions (direct):
S1 0.3139 0.7988 0.0908  1 Sb 2.39, 1 Pd 2.48
S2 0.2035 0.2012 0.9092  1 Sb 2.39, 1 Pd 2.48
S3 0.5465 0.2988 0.5908  1 Sb 2.39, 1 Pd 2.48
S4 0.5953 0.2012 0.0908  1 Sb 2.39, 1 Pd 2.48
S5 0.4361 0.7012 0.4092  1 Sb 2.39, 1 Pd 2.48
S6 0.8873 0.7988 0.9092  1 Sb 2.39, 1 Pd 2.48
S7 0.8627 0.7012 0.5908  1 Sb 2.39, 1 Pd 2.48
S8 0.1547 0.2988 0.4092  1 Sb 2.39, 1 Pd 2.48
Pd1 0.0000 0.0000 0.0000  4 S 2.48
Pd2 0.7500 0.5000 0.5000  4 S 2.48
Rb1 0.5774 0.5000 0.8453  4 S 3.42-3.56, 1 Pd 3.72
Rb2 0.1726 0.0000 0.6547  4 S 3.42-3.56, 1 Pd 3.72
Rb3 0.8274 0.0000 0.3453  4 S 3.42-3.56, 1 Pd 3.72
Rb4 0.9226 0.5000 0.1547  4 S 3.42-3.56, 1 Pd 3.72
Sb1 0.5000 0.0000 0.0000  4 S 2.39
Sb2 0.2500 0.5000 0.5000  4 S 2.39

***

Q: Which of these has the highest calculated volume?
A: Rb2SbPdS4